Entry 1:
A plane-wave DFT calculation with PBE was carried out for an optimized crystal structure of ErSc2B6.

Unit cell a=3.6421 b=5.5161 c=5.5161 alpha=120.00 beta=90.00 gamma=90.00
Atoms (fractional coordinates):
Er 0.0000 0.0000 0.0000
Sc 0.0000 0.3333 0.6667
Sc 0.0000 0.6667 0.3333
B 0.5000 0.3379 0.3379
B 0.5000 0.6621 0.6621
B 0.5000 0.0000 0.6621
B 0.5000 0.6621 0.0000
B 0.5000 0.3379 0.0000
B 0.5000 0.0000 0.3379

formation enthalpy at 0 K: -6.7 eV per formula unit
SG: P6/mmm
magnetization: 0.0 μB/cell

=====

Entry 2:
A plane-wave DFT calculation with PBE was carried out for an optimized crystal structure of ErBSe2.

Unit cell a=3.4290 b=3.4290 c=8.3555 alpha=78.16 beta=78.16 gamma=60.00
Atoms (fractional coordinates):
B 0.5000 0.5000 0.5000
Se 0.1150 0.1150 0.6550
Se 0.8850 0.8850 0.3450
Er 0.0000 0.0000 0.0000

SG: R-3m
magnetization: 0.0 μB/cell
E_form (uncorrected): 0.22 eV/atom

=====

Entry 3:
A plane-wave DFT calculation with PBE was carried out for an optimized crystal structure of Er4BSe3.

Unit cell a=3.9351 b=6.9429 c=6.9429 alpha=108.88 beta=90.00 gamma=90.00
Atoms (fractional coordinates):
B 0.5000 0.0000 0.0000
Se 0.0000 0.0000 0.5000
Se 0.5000 0.5000 0.5000
Se 0.0000 0.5000 0.0000
Er 0.0000 0.2177 0.2177
Er 0.5000 0.7727 0.2273
Er 0.0000 0.7823 0.7823
Er 0.5000 0.2273 0.7727

SG: Cmmm
magnetization: 0.0 μB/cell
E_form (uncorrected): -1.44 eV/atom

=====

Entry 4:
A plane-wave DFT calculation with PBE was carried out for an optimized crystal structure of ErBSe.

Unit cell a=3.9722 b=3.9722 c=7.2538 alpha=81.83 beta=81.83 gamma=89.55
Atoms (fractional coordinates):
Se 0.7773 0.7773 0.3418
Se 0.2227 0.2227 0.6582
Er 0.6964 0.6964 0.7795
Er 0.3036 0.3036 0.2205
B 0.1422 0.8578 0.0000
B 0.8578 0.1422 0.0000

SG: C2/m
magnetization: 0.0 μB/cell
E_form (uncorrected): -0.69 eV/atom

=====

Entry 5:
A plane-wave DFT calculation with PBE was carried out for an optimized crystal structure of Er2BSe.

Unit cell a=3.7799 b=3.7799 c=7.1156 alpha=74.60 beta=74.60 gamma=60.00
Atoms (fractional coordinates):
B 0.0000 0.0000 0.0000
Se 0.5000 0.5000 0.5000
Er 0.2600 0.2600 0.2199
Er 0.7400 0.7400 0.7801

SG: R-3m
magnetization: 0.0 μB/cell
E_form (uncorrected): -0.94 eV/atom

=====

Entry 6:
A plane-wave DFT calculation with PBE was carried out for an optimized crystal structure of Er5BSe4.

Unit cell a=5.6303 b=6.9394 c=6.9394 alpha=80.53 beta=66.07 gamma=66.07
Atoms (fractional coordinates):
Er 0.9094 0.3588 0.8244
Er 0.2683 0.8244 0.6412
Er 0.7338 0.1756 0.3588
Er 0.0926 0.6412 0.1756
Er 0.5010 0.0000 0.0000
B 0.0010 0.0000 0.0000
Se 0.4086 0.3975 0.7873
Se 0.8061 0.7873 0.6025
Se 0.1959 0.2127 0.3975
Se 0.5934 0.6025 0.2127

SG: I4/m
magnetization: 0.0 μB/cell
E_form (uncorrected): -1.51 eV/atom

=====

Entry 7:
A plane-wave DFT calculation with PBE was carried out for an optimized crystal structure of ErSiB2.

Unit cell a=3.6342 b=3.9435 c=3.9435 alpha=104.47 beta=90.00 gamma=90.00
Atoms (fractional coordinates):
Er 0.0000 0.0011 0.9989
Si 0.5000 0.6121 0.3879
B 0.5000 0.1341 0.5322
B 0.5000 0.4678 0.8659

SG: Amm2
magnetization: 0.0 μB/cell
E_form (uncorrected): -0.24 eV/atom

=====

Entry 8:
A plane-wave DFT calculation with PBE was carried out for an optimized crystal structure of SmErB12.

Unit cell a=4.1022 b=4.1022 c=8.2082 alpha=90.00 beta=90.00 gamma=90.00
Atoms (fractional coordinates):
Sm 0.0000 0.0000 0.5000
Er 0.0000 0.0000 0.0000
B 0.1990 0.5000 0.2484
B 0.1990 0.5000 0.7516
B 0.5000 0.5000 0.4000
B 0.5000 0.5000 0.9012
B 0.5000 0.1990 0.2484
B 0.5000 0.1990 0.7516
B 0.5000 0.5000 0.0988
B 0.5000 0.5000 0.6000
B 0.5000 0.8010 0.2484
B 0.5000 0.8010 0.7516
B 0.8010 0.5000 0.2484
B 0.8010 0.5000 0.7516

formation enthalpy at 0 K: -5.7 eV per formula unit
SG: P4/mmm
magnetization: 0.0 μB/cell

=====

Entry 9:
A plane-wave DFT calculation with PBE was carried out for an optimized crystal structure of SmEr2B6.

Unit cell a=3.8921 b=5.7036 c=5.7036 alpha=120.00 beta=90.00 gamma=90.00
Atoms (fractional coordinates):
Sm 0.0000 0.0000 0.0000
Er 0.0000 0.3333 0.6667
Er 0.0000 0.6667 0.3333
B 0.5000 0.3377 0.3377
B 0.5000 0.6623 0.6623
B 0.5000 0.0000 0.6623
B 0.5000 0.6623 0.0000
B 0.5000 0.3377 0.0000
B 0.5000 0.0000 0.3377

formation enthalpy at 0 K: -4.8 eV per formula unit
SG: P6/mmm
magnetization: 0.0 μB/cell

=====

Entry 10:
A plane-wave DFT calculation with PBE was carried out for an optimized crystal structure of Er4Sn2B.

Unit cell a=4.8346 b=4.8346 c=8.6420 alpha=73.76 beta=73.76 gamma=90.00
Atoms (fractional coordinates):
B 0.0000 0.0000 0.0000
Sn 0.6379 0.6379 0.7242
Sn 0.3621 0.3621 0.2758
Er 0.8354 0.8354 0.3293
Er 0.1646 0.1646 0.6707
Er 0.0000 0.5000 0.0000
Er 0.5000 0.0000 0.0000

formation enthalpy at 0 K: -3.6 eV per formula unit
SG: I4/mmm
magnetization: 0.0 μB/cell

=====

Entry 11:
A plane-wave DFT calculation with PBE was carried out for an optimized crystal structure of ErTaB.

Unit cell a=3.5965 b=3.5965 c=10.4144 alpha=80.06 beta=80.06 gamma=60.00
Atoms (fractional coordinates):
Ta 0.3018 0.3018 0.0945
Ta 0.6982 0.6982 0.9055
Er 0.1123 0.1123 0.6630
Er 0.8877 0.8877 0.3370
B 0.3944 0.3944 0.8169
B 0.6056 0.6056 0.1831

formation enthalpy at 0 K: -0.4 eV per formula unit
SG: R-3m
magnetization: 0.0 μB/cell

=====

Entry 12:
A plane-wave DFT calculation with PBE was carried out for an optimized crystal structure of Er4TaV7B24.

Unit cell a=3.3256 b=8.9109 c=11.2501 alpha=89.98 beta=90.00 gamma=90.00
Atoms (fractional coordinates):
Er 0.5000 0.1797 0.5854
Er 0.5000 0.8202 0.4160
Er 0.5000 0.3220 0.0847
Er 0.5000 0.6778 0.9139
Ta 0.5000 0.9461 0.1274
V 0.5000 0.1473 0.3175
V 0.5000 0.8546 0.6842
V 0.5000 0.3547 0.8148
V 0.5000 0.6426 0.1854
V 0.5000 0.0543 0.8709
V 0.5000 0.5544 0.6287
V 0.5000 0.4458 0.3719
B 0.0000 0.1318 0.1801
B 0.0000 0.8723 0.8200
B 0.0000 0.3731 0.6785
B 0.0000 0.6262 0.3219
B 0.0000 0.9815 0.2864
B 0.0000 0.0193 0.7155
B 0.0000 0.5194 0.7837
B 0.0000 0.4803 0.2164
B 0.0000 0.3014 0.2650
B 0.0000 0.6994 0.7356
B 0.0000 0.1999 0.7632
B 0.0000 0.7981 0.2377
B 0.0000 0.2612 0.4191
B 0.0000 0.7394 0.5818
B 0.0000 0.2408 0.9170
B 0.0000 0.7556 0.0808
B 0.0000 0.5943 0.4757
B 0.0000 0.4059 0.5252
B 0.0000 0.9041 0.9720
B 0.0000 0.0980 0.0228
B 0.0000 0.0552 0.4345
B 0.0000 0.9455 0.5670
B 0.0000 0.4449 0.9326
B 0.0000 0.5528 0.0666

formation enthalpy at 0 K: -26.6 eV per formula unit
SG: Pm
magnetization: 0.0 μB/cell